(1)
The following is a PBE-GGA calculation of a geometry-optimized Zn2OsPt structure, from Alexandria.

a = 2.7008 Å, b = 3.9456 Å, c = 5.4575 Å
α = 90.00°, β = 90.00°, γ = 90.00°
Closest atoms and distances in Å follow each position.
Fractional coordinates of all 4 atoms:
1 Zn 0.0000 0.0000 0.0000  2 Os 2.69-2.77, 6 Zn 2.70-2.80, 4 Pt 2.71
2 Zn 0.5000 0.5000 0.2655  4 Os 2.69, 6 Zn 2.70-2.80, 2 Pt 2.73
3 Os 0.0000 0.0000 0.4921  6 Zn 2.69-2.77, 2 Os 2.70, 4 Pt 2.82
4 Pt 0.5000 0.5000 0.7655  2 Pt 2.70, 6 Zn 2.71-2.73, 4 Os 2.82

Values from the calculation:
Energy relative to the elements (meV/atom): 26
Calculated total energy (eV per formula unit): -19.7



(2)
The following is a PBE-GGA calculation of a geometry-optimized Rb2InO2 structure, from Alexandria.

a = 9.8030 Å, b = 7.8748 Å, c = 7.0354 Å
α = 90.00°, β = 108.72°, γ = 90.00°
Closest atoms and distances in Å follow each position.
Fractional coordinates of all 20 atoms:
1 Rb 0.0152 0.2478 0.0238  3 O 2.79-3.00
2 Rb 0.0152 0.2522 0.5238  3 O 2.79-3.00
3 Rb 0.3463 0.6262 0.4841  3 O 2.86-2.89
4 Rb 0.3463 0.8738 0.9841  3 O 2.86-2.89
5 Rb 0.6537 0.1262 0.0159  3 O 2.86-2.89
6 Rb 0.6537 0.3738 0.5159  3 O 2.86-2.89
7 Rb 0.9848 0.7478 0.4762  3 O 2.79-3.00
8 Rb 0.9848 0.7522 0.9762  3 O 2.79-3.00
9 In 0.3435 0.0826 0.4428  3 O 2.10-2.16
10 In 0.3435 0.4174 0.9428  3 O 2.10-2.16
11 In 0.6565 0.5826 0.0572  3 O 2.10-2.16
12 In 0.6565 0.9174 0.5572  3 O 2.10-2.16
13 O 0.1519 0.5449 0.7908  1 In 2.10
14 O 0.1519 0.9551 0.2908  1 In 2.10
15 O 0.4819 0.5687 0.1811  2 In 2.15-2.16
16 O 0.4819 0.9313 0.6811  2 In 2.15-2.16
17 O 0.5181 0.0687 0.3189  2 In 2.15-2.16
18 O 0.5181 0.4313 0.8189  2 In 2.15-2.16
19 O 0.8481 0.0449 0.7092  1 In 2.10
20 O 0.8481 0.4551 0.2092  1 In 2.10

Values from the calculation:
Calculated total energy (eV per formula unit): -20.2



(3)
The following is a PBE-GGA calculation of a geometry-optimized CaAc3La4 structure, from Alexandria.

a = 12.1278 Å, b = 5.4941 Å, c = 10.8876 Å
α = 90.00°, β = 116.79°, γ = 90.00°
Closest atoms and distances in Å follow each position.
Fractional coordinates of all 16 atoms:
1 Ca 0.0000 0.0000 0.0000  8 La 3.81-3.89, 4 Ac 3.89
2 Ca 0.5000 0.5000 0.0000  8 La 3.81-3.89, 4 Ac 3.89
3 Ac 0.0000 0.0000 0.5000  8 La 3.80-3.86, 4 Ac 3.85
4 Ac 0.9996 0.5000 0.2522  8 La 3.80-3.90, 2 Ac 3.85, 2 Ca 3.89
5 Ac 0.0004 0.5000 0.7478  8 La 3.80-3.90, 2 Ac 3.85, 2 Ca 3.89
6 Ac 0.4996 0.0000 0.2522  8 La 3.80-3.90, 2 Ac 3.85, 2 Ca 3.89
7 Ac 0.5004 0.0000 0.7478  8 La 3.80-3.90, 2 Ac 3.85, 2 Ca 3.89
8 Ac 0.5000 0.5000 0.5000  8 La 3.80-3.86, 4 Ac 3.85
9 La 0.2457 0.0000 0.8733  5 Ac 3.80-3.90, 3 Ca 3.81-3.89, 4 La 3.86-3.87
10 La 0.2475 0.5000 0.6233  7 Ac 3.80-3.88, 1 Ca 3.86, 4 La 3.86-3.87
11 La 0.2525 0.0000 0.3767  7 Ac 3.80-3.88, 1 Ca 3.86, 4 La 3.86-3.87
12 La 0.2543 0.5000 0.1267  5 Ac 3.80-3.90, 3 Ca 3.81-3.89, 4 La 3.86-3.87
13 La 0.7457 0.5000 0.8733  5 Ac 3.80-3.90, 3 Ca 3.81-3.89, 4 La 3.86-3.87
14 La 0.7475 0.0000 0.6233  7 Ac 3.80-3.88, 1 Ca 3.86, 4 La 3.86-3.87
15 La 0.7525 0.5000 0.3767  7 Ac 3.80-3.88, 1 Ca 3.86, 4 La 3.86-3.87
16 La 0.7543 0.0000 0.1267  5 Ac 3.80-3.90, 3 Ca 3.81-3.89, 4 La 3.86-3.87

Values from the calculation:
Energy relative to the elements (meV/atom): 36
Calculated total energy (eV per formula unit): -33.8



(4)
The following is a PBE-GGA calculation of a geometry-optimized La2Cd2InPd5 structure, from Alexandria.

a = 10.5400 Å, b = 10.5400 Å, c = 3.8017 Å
α = 90.00°, β = 90.00°, γ = 90.00°
Closest atoms and distances in Å follow each position.
Fractional coordinates of all 20 atoms:
1 La 0.1712 0.3288 0.0000  3 Cd 2.99-3.19, 6 Pd 3.18-3.25
2 La 0.3288 0.8288 0.0000  3 Cd 2.99-3.19, 6 Pd 3.18-3.25
3 La 0.6712 0.1712 0.0000  3 Cd 2.99-3.19, 6 Pd 3.18-3.25
4 La 0.8288 0.6712 0.0000  3 Cd 2.99-3.19, 6 Pd 3.18-3.25
5 Cd 0.1279 0.6279 0.0000  6 Pd 2.69-2.79, 1 La 2.99
6 Cd 0.3721 0.1279 0.0000  6 Pd 2.69-2.79, 1 La 2.99
7 Cd 0.6279 0.8721 0.0000  6 Pd 2.69-2.79, 1 La 2.99
8 Cd 0.8721 0.3721 0.0000  6 Pd 2.69-2.79, 1 La 2.99
9 In 0.0000 0.0000 0.0000  8 Pd 2.86
10 In 0.5000 0.5000 0.0000  8 Pd 2.86
11 Pd 0.0000 0.5000 0.5000  4 Cd 2.69
12 Pd 0.0421 0.8015 0.5000  2 Cd 2.79, 2 In 2.86, 2 Pd 3.02
13 Pd 0.1985 0.0421 0.5000  2 Cd 2.79, 2 In 2.86, 2 Pd 3.02
14 Pd 0.3015 0.5421 0.5000  2 Cd 2.79, 2 In 2.86, 2 Pd 3.02
15 Pd 0.4579 0.3015 0.5000  2 Cd 2.79, 2 In 2.86, 2 Pd 3.02
16 Pd 0.5000 0.0000 0.5000  4 Cd 2.69
17 Pd 0.5421 0.6985 0.5000  2 Cd 2.79, 2 In 2.86, 2 Pd 3.02
18 Pd 0.6985 0.4579 0.5000  2 Cd 2.79, 2 In 2.86, 2 Pd 3.02
19 Pd 0.8015 0.9579 0.5000  2 Cd 2.79, 2 In 2.86, 2 Pd 3.02
20 Pd 0.9579 0.1985 0.5000  2 Cd 2.79, 2 In 2.86, 2 Pd 3.02

Values from the calculation:
Energy relative to the elements (meV/atom): -524
Calculated total energy (eV per formula unit): -45.6



(5)
The following is a PBE-GGA calculation of a geometry-optimized Sm5Sn2Hg2 structure, from Alexandria.

a = 9.0616 Å, b = 9.0616 Å, c = 8.1327 Å
α = 90.00°, β = 90.00°, γ = 53.95°
Closest atoms and distances in Å follow each position.
Fractional coordinates of all 18 atoms:
1 Sm 0.0000 0.0000 0.0000  4 Hg 3.18-3.23, 2 Sn 3.30
2 Sm 0.0308 0.6880 0.6675  3 Sn 3.18-3.22, 3 Hg 3.24-3.37
3 Sm 0.1880 0.5308 0.1675  3 Sn 3.18-3.22, 3 Hg 3.24-3.37
4 Sm 0.3120 0.9692 0.6675  3 Sn 3.18-3.22, 3 Hg 3.24-3.37
5 Sm 0.4692 0.8120 0.1675  3 Sn 3.18-3.22, 3 Hg 3.24-3.37
6 Sm 0.5000 0.5000 0.5000  4 Hg 3.18-3.23, 2 Sn 3.30
7 Sm 0.5308 0.1880 0.8325  3 Sn 3.18-3.22, 3 Hg 3.24-3.37
8 Sm 0.6880 0.0308 0.3325  3 Sn 3.18-3.22, 3 Hg 3.24-3.37
9 Sm 0.8120 0.4692 0.8325  3 Sn 3.18-3.22, 3 Hg 3.24-3.37
10 Sm 0.9692 0.3120 0.3325  3 Sn 3.18-3.22, 3 Hg 3.24-3.37
11 Sn 0.2042 0.2042 0.0000  7 Sm 3.18-3.30
12 Sn 0.2958 0.2958 0.5000  7 Sm 3.18-3.30
13 Sn 0.7042 0.7042 0.5000  7 Sm 3.18-3.30
14 Sn 0.7958 0.7958 0.0000  7 Sm 3.18-3.30
15 Hg 0.1296 0.8704 0.3689  1 Hg 3.01, 8 Sm 3.18-3.37
16 Hg 0.3704 0.6296 0.8689  1 Hg 3.01, 8 Sm 3.18-3.37
17 Hg 0.6296 0.3704 0.1311  1 Hg 3.01, 8 Sm 3.18-3.37
18 Hg 0.8704 0.1296 0.6311  1 Hg 3.01, 8 Sm 3.18-3.37

Values from the calculation:
Energy relative to the elements (meV/atom): -532
Calculated total energy (eV per formula unit): -37.0



(6)
The following is a PBE-GGA calculation of a geometry-optimized LaNdP2O8 structure, from Alexandria.

a = 5.3377 Å, b = 5.3377 Å, c = 7.4442 Å
α = 90.00°, β = 90.00°, γ = 120.00°
Closest atoms and distances in Å follow each position.
Fractional coordinates of all 12 atoms:
1 La 0.0000 0.0000 0.0000  6 O 2.60
2 Nd 0.0000 0.0000 0.5000  6 O 2.35
3 P 0.3333 0.6667 0.8004  4 O 1.53-1.56
4 P 0.6667 0.3333 0.1996  4 O 1.53-1.56
5 O 0.1754 0.3508 0.7277  1 P 1.56
6 O 0.1754 0.8246 0.7277  1 P 1.56
7 O 0.3333 0.6667 0.0058  1 P 1.53
8 O 0.3508 0.1754 0.2723  1 P 1.56
9 O 0.6492 0.8246 0.7277  1 P 1.56
10 O 0.6667 0.3333 0.9942  1 P 1.53
11 O 0.8246 0.1754 0.2723  1 P 1.56
12 O 0.8246 0.6492 0.2723  1 P 1.56

Values from the calculation:
Calculated total energy (eV per formula unit): -95.0